Here is Tl4SbSe after structural relaxation from the Alexandria database. Energies are from PBE.

Lattice parameters (Å, degrees): 7.405 7.559 9.211 112.49 111.93 93.97
Sites, in units of the cell vectors:
Tl 0.232 0.990 0.494
Tl 0.006 0.756 0.011
Tl 0.238 0.495 0.506
Tl 0.494 0.745 0.989
Tl 0.768 0.010 0.506
Tl 0.762 0.505 0.494
Tl 0.994 0.244 0.989
Tl 0.506 0.255 0.011
Sb 0.381 0.631 0.261
Sb 0.619 0.369 0.739
Se 0.865 0.115 0.230
Se 0.135 0.885 0.770

Its symmetry is C2/c (15). The density of states at the Fermi level comes out at 6.7 states/eV per cell. The crystal system is monoclinic. The value obtained for the energy above the most stable polymorph in this dataset is 0.0 kJ per mole of atoms. Its formation energy (no corrections) is -0.11 eV per atom.



Here is Tl2TcAg after structural relaxation from the Alexandria database. Energies are from PBE.

Lattice parameters (Å, degrees): 3.270 4.279 6.005 90.00 90.00 90.00
Site moments in Bohr magnetons follow the coordinates.
Sites, in units of the cell vectors:
Ag 0.000 0.000 0.497  0.01
Tc 0.500 0.500 0.764  1.61
Tl 0.000 0.000 0.958  0.00
Tl 0.500 0.500 0.281  -0.01

Its symmetry is Pmm2 (25). The density of states at the Fermi level comes out at 2.5 states/eV per cell. The crystal system is orthorhombic. Its formation energy is 0.6387 eV per atom. The value obtained for the energy above the most stable polymorph in this dataset is 10.3 kJ per mole of atoms.



Here is BaLi2CaAg after structural relaxation from the Alexandria database. Energies are from PBE.

Lattice parameters (Å, degrees): 5.428 5.428 6.155 90.00 90.00 90.00
Sites, in units of the cell vectors:
Ca 0.500 0.500 0.500
Ba 0.000 0.000 0.500
Ag 0.000 0.000 0.000
Li 0.000 0.500 0.000
Li 0.500 0.000 0.000

Its symmetry is P4/mmm (123). The density of states at the Fermi level comes out at 4.2 states/eV per cell. The crystal system is tetragonal. Its formation energy is 0.1182 eV per atom. The value obtained for the energy above the most stable polymorph in this dataset is 9.8 kJ per mole of atoms.



Here is Mg5Co after structural relaxation from the Alexandria database. Energies are from PBE.

Lattice parameters (Å, degrees): 5.555 5.555 5.065 90.00 90.00 120.00
Site moments in Bohr magnetons follow the coordinates.
Sites, in units of the cell vectors:
Mg 0.333 0.667 0.000  -0.01
Mg 0.667 0.333 0.000  -0.01
Mg 0.500 0.000 0.500  -0.01
Mg 0.000 0.500 0.500  -0.01
Mg 0.500 0.500 0.500  -0.01
Co 0.000 0.000 0.000  1.75

Its symmetry is P6/mmm (191). The density of states at the Fermi level comes out at 7.0 states/eV per cell. The crystal system is hexagonal. Its formation energy is 0.5448 eV per atom. The value obtained for the energy above the most stable polymorph in this dataset is 47.2 kJ per mole of atoms.



Here is K4Se after structural relaxation from the Alexandria database. Energies are from PBE.

Lattice parameters (Å, degrees): 6.515 6.515 6.515 90.00 90.00 90.00
Sites, in units of the cell vectors:
K 0.000 0.000 0.000
K 0.500 0.000 0.500
K 0.000 0.500 0.500
K 0.500 0.500 0.000
Se 0.500 0.500 0.500

Its symmetry is Pm-3m (221). The density of states at the Fermi level comes out at 1.8 states/eV per cell. The crystal system is cubic. Its formation energy (no corrections) is -0.56 eV per atom.



Number 1: calculated volume 428.2 Å³ per cell, theoretical density 7.9 Mg/m³, final energy -2.959 eV per atom. Number 2: calculated volume 84.0 Å³ per cell, theoretical density 12.1 Mg/m³, final energy -3.849 eV per atom. Number 3: calculated volume 181.3 Å³ per cell, theoretical density 2.7 Mg/m³, final energy -2.002 eV per atom. Number 4: calculated volume 135.3 Å³ per cell, theoretical density 2.2 Mg/m³, final energy -1.968 eV per atom. Number 5: calculated volume 276.5 Å³ per cell, theoretical density 1.4 Mg/m³, final energy -2.139 eV per atom.